The following is a PBE-GGA calculation of an optimized crystal structure of GeTe2H2Pd7, from Alexandria via LeMat-Bulk.

a b c (Å): 4.032 4.032 11.460
angles (deg): 79.92 79.92 90.21
Atoms (fractional coordinates):
Ge 0.000 0.000 0.000
Te 0.804 0.804 0.390
Te 0.196 0.196 0.610
H 0.588 0.588 0.823
H 0.412 0.412 0.177
Pd 0.500 0.500 0.000
Pd 0.316 0.316 0.363
Pd 0.684 0.684 0.637
Pd 0.913 0.412 0.173
Pd 0.412 0.913 0.173
Pd 0.588 0.087 0.827
Pd 0.087 0.588 0.827

## Properties
N(E_F): 0.41 states/eV/atom
VASP energy: -0.348 Ry per atom